# 1
## EuYZnCu (PBE)

Data for an optimized crystal structure of EuYZnCu.

Cell: 5.098 5.098 5.098 Å, 60.00 60.00 60.00°
Fractional positions:
Eu1 0.000 0.000 0.000
Zn1 0.250 0.250 0.250
Cu1 0.750 0.750 0.750
Y1 0.500 0.500 0.500

Computed properties:
Energy of formation in eV per formula unit: -0.77
Spin magnetization in μB/f.u.: 7.1

=====

# 2
## Fe2MoBr (PBE)

Data for an optimized crystal structure of Fe2MoBr.

Cell: 3.262 3.258 6.193 Å, 90.00 90.00 90.00°
Fractional positions:
Mo1 0.500 0.500 0.250
Fe1 0.000 0.000 0.062
Br1 0.500 0.500 0.750
Fe2 0.000 0.000 0.438

Computed properties:
ΔE_f (raw) in eV per atom: 0.615
Spin magnetization in μB/f.u.: 4.2

=====

# 3
## Nd6Dy4Ho (PBE)

Data for an optimized crystal structure of Nd6Dy4Ho.

Cell: 6.764 6.764 9.630 Å, 110.56 110.56 90.00°
Fractional positions:
Nd1 0.000 0.500 0.000
Dy1 0.704 0.058 0.762
Nd2 0.500 0.000 0.000
Nd3 0.486 0.868 0.354
Nd4 0.132 0.132 0.646
Nd5 0.514 0.514 0.646
Dy2 0.296 0.296 0.238
Nd6 0.868 0.486 0.354
Ho1 0.500 0.500 0.000
Dy3 0.942 0.942 0.238
Dy4 0.058 0.704 0.762

Computed properties:
Energy of formation in eV per formula unit: 3.28
Spin magnetization in μB/f.u.: 0.0

=====

# 4
## Dy8NiAu2 (PBE)

Data for an optimized crystal structure of Dy8NiAu2.

Cell: 5.087 6.755 9.062 Å, 102.77 106.30 90.00°
Fractional positions:
Dy1 0.972 0.218 0.943
Au1 0.809 0.265 0.618
Dy2 0.657 0.969 0.315
Au2 0.191 0.735 0.382
Dy3 0.412 0.559 0.823
Dy4 0.028 0.782 0.057
Dy5 0.343 0.031 0.685
Dy6 0.205 0.320 0.409
Ni1 0.500 0.000 0.000
Dy7 0.795 0.680 0.591
Dy8 0.588 0.441 0.177

Computed properties:
Energy of formation in eV per formula unit: -4.13
Spin magnetization in μB/f.u.: 0.0

=====

# 5
## PNF2 (PBE)

Data for an optimized crystal structure of PNF2.

Cell: 9.259 9.259 9.259 Å, 15.63 15.63 15.63°
Fractional positions:
N1 0.500 0.500 0.500
F1 0.941 0.941 0.941
F2 0.059 0.059 0.059
P1 0.000 0.000 0.000

Computed properties:
ΔE_f (raw) in eV per atom: 0.238
Spin magnetization in μB/f.u.: 1.4

=====

# 6
## K2ScRe2N6 (PBE)

Data for an optimized crystal structure of K2ScRe2N6.

Cell: 6.134 6.137 7.091 Å, 115.81 90.00 119.98°
Fractional positions:
N1 0.260 0.520 0.296
Re1 0.072 0.145 0.220
Sc1 0.500 0.000 0.500
N2 0.740 0.480 0.704
K1 0.726 0.452 0.181
Re2 0.928 0.855 0.780
N3 0.770 0.030 0.292
K2 0.274 0.548 0.819
N4 0.230 0.970 0.708
N5 0.259 0.030 0.292
N6 0.741 0.970 0.708

Computed properties:
ΔE_f (raw) in eV per atom: -0.348
Spin magnetization in μB/f.u.: 0.0